P:
The following is a DFT calculation (GGA-PBE) of a relaxed GaGe2Sb crystal.

abc: 5.9966 5.9966 12.0563
angles: 90.00 90.00 90.00
Closest atoms and distances in Å follow each position.
Space group I-42d (No. 122)
Asymmetric unit:
Ga 0.0000 0.0000 0.0000 [4 per cell]  4 Ge 2.50
Ge 0.2209 0.2500 0.1250 [8 per cell]  2 Ga 2.50, 2 Sb 2.71
Sb 0.0000 0.0000 0.5000 [4 per cell]  4 Ge 2.71

Calculated values
The calculation puts the magnetization at 0.000 Bohr magnetons per cell.

=====

Q:
The following is a DFT calculation (GGA-PBE) of a relaxed GaGe2Sb crystal.

abc: 7.0423 7.0423 7.0423
angles: 90.00 90.00 90.00
Closest atoms and distances in Å follow each position.
Space group Fm-3m (No. 225)
Asymmetric unit:
Ga 0.0000 0.0000 0.0000 [4 per cell]  8 Ge 3.05
Ge 0.2500 0.2500 0.2500 [8 per cell]  4 Sb 3.05, 4 Ga 3.05
Sb 0.0000 0.0000 0.5000 [4 per cell]  8 Ge 3.05

Calculated values
The calculation puts the magnetization at 0.000 Bohr magnetons per cell.

=====

On energetic grounds, P is preferred over the next structure by 0.263 eV/atom.

=====

P:
The following is a DFT calculation (GGA-PBE) of a relaxed Sc2Ga2Ge crystal.

abc: 6.7398 6.7398 4.1618
angles: 90.00 90.00 90.00
Closest atoms and distances in Å follow each position.
Space group P4/mbm (No. 127)
Asymmetric unit:
Sc 0.1711 0.3289 0.0000 [4 per cell]  6 Ga 2.81-2.92
Ga 0.1301 0.6301 0.5000 [4 per cell]  1 Ga 2.48, 2 Ge 2.64
Ge 0.0000 0.0000 0.5000 [2 per cell]  4 Ga 2.64

Calculated values
The calculation puts the magnetization at 0.000 Bohr magnetons per cell.

=====

Q:
The following is a DFT calculation (GGA-PBE) of a relaxed Sc2Ga2Ge crystal.

abc: 7.0427 7.0427 4.1950
angles: 90.00 90.00 90.00
Closest atoms and distances in Å follow each position.
Space group P4/mbm (No. 127)
Asymmetric unit:
Sc 0.1619 0.3381 0.0000 [4 per cell]  2 Ge 2.64, 2 Ga 2.88
Ga 0.1403 0.6403 0.5000 [4 per cell]  1 Ga 2.79, 6 Sc 2.88-2.99
Ge 0.0000 0.0000 0.0000 [2 per cell]  4 Sc 2.64

Calculated values
The calculation puts the magnetization at 0.000 Bohr magnetons per cell.

=====

On energetic grounds, P is preferred over the next structure by 0.187 eV/atom.

=====

P:
The following is a DFT calculation (GGA-PBE) of a relaxed ScGa3Ge crystal.

abc: 5.1629 5.1629 5.1629
angles: 90.00 90.00 90.00
Closest atoms and distances in Å follow each position.
Space group Pm-3m (No. 221)
Asymmetric unit:
Sc 0.0000 0.0000 0.0000 [1 per cell]  6 Ga 2.58
Ga 0.0000 0.0000 0.5000 [3 per cell]  2 Sc 2.58
Ge 0.5000 0.5000 0.5000 [1 per cell]  12 Ga 3.65

Calculated values
The calculation puts the magnetization at 0.354 Bohr magnetons per cell.

=====

Q:
The following is a DFT calculation (GGA-PBE) of a relaxed ScGa3Ge crystal.

abc: 4.8879 4.8879 4.8879
angles: 90.00 90.00 90.00
Closest atoms and distances in Å follow each position.
Space group Pm-3m (No. 221)
Asymmetric unit:
Sc 0.0000 0.0000 0.0000 [1 per cell]  12 Ga 3.46
Ga 0.0000 0.5000 0.5000 [3 per cell]  2 Ge 2.44
Ge 0.5000 0.5000 0.5000 [1 per cell]  6 Ga 2.44

Calculated values
The calculation puts the magnetization at 0.000 Bohr magnetons per cell.

=====

On energetic grounds, Q is preferred over the next structure by 0.287 eV/atom.

=====

P:
The following is a DFT calculation (GGA-PBE) of a relaxed ScGaGe3 crystal.

abc: 4.8840 4.8840 4.8840
angles: 90.00 90.00 90.00
Closest atoms and distances in Å follow each position.
Space group Pm-3m (No. 221)
Asymmetric unit:
Sc 0.0000 0.0000 0.0000 [1 per cell]  12 Ge 3.45
Ga 0.5000 0.5000 0.5000 [1 per cell]  6 Ge 2.44
Ge 0.0000 0.5000 0.5000 [3 per cell]  2 Ga 2.44

Calculated values
The calculation puts the magnetization at 0.000 Bohr magnetons per cell.

=====

Q:
The following is a DFT calculation (GGA-PBE) of a relaxed ScGaGe3 crystal.

abc: 5.1318 5.1318 5.1318
angles: 90.00 90.00 90.00
Closest atoms and distances in Å follow each position.
Space group Pm-3m (No. 221)
Asymmetric unit:
Sc 0.0000 0.0000 0.0000 [1 per cell]  6 Ge 2.57
Ga 0.5000 0.5000 0.5000 [1 per cell]  12 Ge 3.63
Ge 0.0000 0.0000 0.5000 [3 per cell]  2 Sc 2.57

Calculated values
The calculation puts the magnetization at 0.000 Bohr magnetons per cell.

=====

On energetic grounds, P is preferred over the next structure by 0.019 eV/atom.